No. 1
Below is a geometry-optimized Ba2TaTc2 structure, with properties calculated at the PBE level.

a b c (Å): 8.0112 8.0112 8.0112
angles (deg): 149.70 149.70 43.38
Positions (direct):
1 Ba 0.2500 0.7500 0.5000
2 Ba 0.7500 0.2500 0.5000
3 Ta 0.0000 0.0000 0.0000
4 Tc 0.4285 0.4285 0.0000
5 Tc 0.5715 0.5715 0.0000

Computed properties:
The energy above the most stable polymorph in this dataset comes out at 843 meV/atom. The calculation puts the density of states at the Fermi level at 1.34 states/eV/atom. Its volume is 26.100 Å³ per atom.



No. 2
Below is a geometry-optimized La2SiP structure, with properties calculated at the PBE level.

a b c (Å): 4.2143 4.2143 7.8204
angles (deg): 105.66 105.66 60.06
Positions (direct):
1 La 0.2450 0.2450 0.2346
2 La 0.7550 0.7550 0.7654
3 Si 0.0000 0.0000 0.5000
4 P 0.5000 0.5000 0.0000

Computed properties:
The value obtained for the formation energy from raw total energies is -0.977 eV per atom. The energy above the most stable polymorph in this dataset comes out at 181 meV/atom. The calculation puts the density of states at the Fermi level at 0.52 states/eV/atom. Its volume is 28.589 Å³ per atom.



No. 3
Below is a geometry-optimized Tb2HoRu2 structure, with properties calculated at the PBE level.

a b c (Å): 6.0050 6.0050 9.8470
angles (deg): 90.00 90.00 138.62
Positions (direct):
1 Tb 0.0942 0.9058 0.5000
2 Tb 0.3535 0.6465 0.6862
3 Tb 0.6465 0.3535 0.1862
4 Tb 0.9058 0.0942 0.0000
5 Ho 0.3535 0.6465 0.3139
6 Ho 0.6465 0.3535 0.8139
7 Ru 0.0012 0.9988 0.7507
8 Ru 0.1919 0.8081 0.9986
9 Ru 0.8081 0.1919 0.4986
10 Ru 0.9988 0.0012 0.2507

Computed properties:
The energy above the most stable polymorph in this dataset comes out at 48 meV/atom. The calculation puts the density of states at the Fermi level at 0.53 states/eV/atom. Its volume is 23.472 Å³ per atom.



No. 4
Below is a geometry-optimized ZrSi3 structure, with properties calculated at the PBE level.

a b c (Å): 5.0682 5.0682 4.5291
angles (deg): 94.53 94.53 34.90
Positions (direct):
1 Zr 0.0000 0.0000 0.0000
2 Si 0.2571 0.2571 0.7417
3 Si 0.5000 0.5000 0.5000
4 Si 0.7429 0.7429 0.2583

Computed properties:
The value obtained for the formation energy from raw total energies is -0.053 eV per atom. The calculation puts the density of states at the Fermi level at 0.52 states/eV/atom. Its volume is 16.584 Å³ per atom.